Entry 1:
A plane-wave DFT calculation with GGA-PBE was carried out for crystalline La2TeAu at its relaxed geometry.

Computed properties:
* crystal system: orthorhombic
* E_tot: -20.61 eV for the cell shown
* formation energy from raw total energies: -1.08 eV per atom

abc: 4.836 6.415 6.415
angles: 37.86 90.00 90.00
Atoms (fractional coordinates):
La 0.000 0.000 0.000
La 0.500 0.254 0.254
Te 0.000 0.728 0.728
Au 0.500 0.507 0.507



Entry 2:
A plane-wave DFT calculation with GGA-PBE was carried out for crystalline La2TeAu2 at its relaxed geometry.

Computed properties:
* crystal system: tetragonal
* E_tot: -23.99 eV for the cell shown
* excess energy over the best structure of this formula in the dataset: 0.081 eV/atom
* formation energy from raw total energies: -0.89 eV per atom

abc: 9.000 9.000 9.000
angles: 153.66 153.66 37.59
Atoms (fractional coordinates):
La 0.114 0.114 0.000
La 0.886 0.886 0.000
Te 0.500 0.500 0.000
Au 0.250 0.750 0.500
Au 0.750 0.250 0.500



Entry 3:
A plane-wave DFT calculation with GGA-PBE was carried out for crystalline LaTe2Au at its relaxed geometry.

Computed properties:
* crystal system: tetragonal
* E_tot: -17.40 eV for the cell shown
* formation energy from raw total energies: -0.73 eV per atom

abc: 4.211 4.211 6.415
angles: 90.00 90.00 90.00
Atoms (fractional coordinates):
La 0.000 0.000 0.000
Te 0.500 0.500 0.248
Te 0.500 0.500 0.752
Au 0.000 0.000 0.500